# 1
DFT (GGA-PBE) results for an optimized crystal structure of RbSrAsSe2.

The total energy comes out at -15.70 eV for the cell shown. The density of states at the Fermi level comes out at 5.7 states/eV per cell. The value obtained for the density is 3.18 Mg/m³. The value obtained for the formation energy (no corrections) is -0.287 eV/atom.

It has space group P4/mmm (No. 123), with a = 5.9300 Å, b = 5.9300 Å, c = 6.0211 Å, α = 90.00°, β = 90.00° and γ = 90.00°. The distinct sites, in fractional coordinates, are Rb at (0.0000, 0.0000, 0.0000), Sr at (0.5000, 0.5000, 0.5000), As at (0.5000, 0.5000, 0.0000) and Se at (0.0000, 0.5000, 0.5000).

=====

# 2
DFT (GGA-PBE) results for an optimized crystal structure of RbTaAs2Se.

The total energy comes out at -14.29 eV for the cell shown. The density of states at the Fermi level comes out at 7.8 states/eV per cell. The value obtained for the density is 5.57 Mg/m³. The value obtained for the formation energy (no corrections) is 2.264 eV/atom.

It has space group P4/mmm (No. 123), with a = 5.2341 Å, b = 5.2341 Å, c = 5.3917 Å, α = 90.00°, β = 90.00° and γ = 90.00°. The distinct sites, in fractional coordinates, are Rb at (0.0000, 0.0000, 0.0000), Ta at (0.5000, 0.5000, 0.5000), As at (0.0000, 0.5000, 0.0000) and Se at (0.0000, 0.0000, 0.5000).

=====

# 3
DFT (GGA-PBE) results for an optimized crystal structure of RbTaAs2Se.

The total energy comes out at -27.11 eV for the cell shown. The density of states at the Fermi level comes out at 4.4 states/eV per cell. The value obtained for the density is 6.12 Mg/m³. The value obtained for the formation energy (no corrections) is -0.302 eV/atom.

It has space group P4/mmm (No. 123), with a = 5.1053 Å, b = 5.1053 Å, c = 5.1586 Å, α = 90.00°, β = 90.00° and γ = 90.00°. The distinct sites, in fractional coordinates, are Rb at (0.0000, 0.0000, 0.0000), Ta at (0.5000, 0.5000, 0.5000), As at (0.0000, 0.5000, 0.5000) and Se at (0.5000, 0.5000, 0.0000).

=====

# 4
DFT (GGA-PBE) results for an optimized crystal structure of RbTcAsSe2.

The total energy comes out at -13.29 eV for the cell shown. The density of states at the Fermi level comes out at 6.7 states/eV per cell. The value obtained for the density is 3.85 Mg/m³. The value obtained for the formation energy (no corrections) is 1.933 eV/atom.

It has space group P4/mmm (No. 123), with a = 5.7158 Å, b = 5.7158 Å, c = 5.4954 Å, α = 90.00°, β = 90.00° and γ = 90.00°. The distinct sites, in fractional coordinates, are Rb at (0.0000, 0.0000, 0.0000), Tc at (0.5000, 0.5000, 0.5000), As at (0.0000, 0.0000, 0.5000) and Se at (0.0000, 0.5000, 0.0000).

=====

# 5
DFT (GGA-PBE) results for an optimized crystal structure of RbTcAsSe2.

The total energy comes out at -23.37 eV for the cell shown. The density of states at the Fermi level comes out at 6.8 states/eV per cell. The value obtained for the density is 5.39 Mg/m³. The value obtained for the formation energy (no corrections) is -0.083 eV/atom.

It has space group P4/mmm (No. 123), with a = 5.1653 Å, b = 5.1653 Å, c = 4.8048 Å, α = 90.00°, β = 90.00° and γ = 90.00°. The distinct sites, in fractional coordinates, are Rb at (0.0000, 0.0000, 0.0000), Tc at (0.5000, 0.5000, 0.5000), As at (0.5000, 0.5000, 0.0000) and Se at (0.0000, 0.5000, 0.5000).

=====

# 6
DFT (GGA-PBE) results for an optimized crystal structure of RbTeAs2Se.

The total energy comes out at -9.11 eV for the cell shown. The density of states at the Fermi level comes out at 8.0 states/eV per cell. The value obtained for the density is 4.05 Mg/m³. The value obtained for the formation energy (no corrections) is 1.557 eV/atom.

It has space group P4/mmm (No. 123), with a = 5.6617 Å, b = 5.6617 Å, c = 5.6469 Å, α = 90.00°, β = 90.00° and γ = 90.00°. The distinct sites, in fractional coordinates, are Rb at (0.0000, 0.0000, 0.0000), Te at (0.5000, 0.5000, 0.5000), As at (0.0000, 0.5000, 0.0000) and Se at (0.0000, 0.0000, 0.5000).

=====

# 7
DFT (GGA-PBE) results for an optimized crystal structure of RbTe2As2Se6.

The total energy comes out at -39.33 eV for the cell shown. The density of states at the Fermi level comes out at 2.6 states/eV per cell. The value obtained for the density is 3.96 Mg/m³. The value obtained for the formation energy (no corrections) is -0.170 eV/atom.

It has space group P-1 (No. 2), with a = 6.4074 Å, b = 7.9247 Å, c = 9.0063 Å, α = 106.19°, β = 98.06° and γ = 108.13°. The distinct sites, in fractional coordinates, are Rb at (0.0000, 0.0000, 0.0000), Te at (0.3107, 0.6210, 0.1174), As at (0.4805, 0.1393, 0.4681), Se at (0.1341, 0.6653, 0.3715), Se at (0.4703, 0.9739, 0.7993) and Se at (0.4933, 0.6011, 0.8240).

=====

# 8
DFT (GGA-PBE) results for an optimized crystal structure of RbTeAs2Se.

The total energy comes out at -15.52 eV for the cell shown. The density of states at the Fermi level comes out at 5.6 states/eV per cell. The value obtained for the density is 4.40 Mg/m³. The value obtained for the formation energy (no corrections) is 0.274 eV/atom.

It has space group P4/mmm (No. 123), with a = 5.4500 Å, b = 5.4500 Å, c = 5.6164 Å, α = 90.00°, β = 90.00° and γ = 90.00°. The distinct sites, in fractional coordinates, are Rb at (0.0000, 0.0000, 0.0000), Te at (0.5000, 0.5000, 0.5000), As at (0.0000, 0.5000, 0.5000) and Se at (0.5000, 0.5000, 0.0000).